[1]
SmZr2Tc: optimized geometry, PBE-GGA.

Unit cell a=3.348 b=3.348 c=8.160 alpha=90.00 beta=90.00 gamma=90.00
Space group P4/mmm (No. 123)
Unique sites:
Sm1 0.000 0.000 0.000 [1 per cell]
Zr1 0.500 0.500 0.309 [2 per cell]
Tc1 0.000 0.000 0.500 [1 per cell]

Calculated formation energy (eV/atom): -0.106
Crystal system: tetragonal

[2]
NdHoTlGa: optimized geometry, PBE-GGA.

Unit cell a=7.494 b=7.494 c=7.494 alpha=90.00 beta=90.00 gamma=90.00
Space group F-43m (No. 216)
Unique sites:
Nd1 0.000 0.000 0.000 [4 per cell]
Ho1 0.000 0.000 0.500 [4 per cell]
Tl1 0.250 0.250 0.750 [4 per cell]
Ga1 0.250 0.250 0.250 [4 per cell]

Calculated formation energy (eV/atom): -0.428
Crystal system: cubic

[3]
PrPaMnS4: optimized geometry, PBE-GGA.

Unit cell a=6.482 b=6.097 c=7.775 alpha=90.00 beta=106.69 gamma=90.00
Space group P2_1/m (No. 11)
Unique sites:
Pr1 0.246 0.250 0.060 [2 per cell]
Pa1 0.240 0.250 0.557 [2 per cell]
Mn1 0.240 0.750 0.319 [2 per cell]
S1 0.019 0.512 0.740 [4 per cell]
S2 0.435 0.750 0.120 [2 per cell]
S3 0.438 0.750 0.608 [2 per cell]

Formation energy (no corrections) (meV/atom): -1409
Crystal system: monoclinic

[4]
Ac2UHS5: optimized geometry, PBE-GGA.

Unit cell a=4.143 b=17.196 c=12.030 alpha=90.00 beta=90.00 gamma=90.00
Space group Cmc2_1 (No. 36)
Unique sites:
Ac1 0.000 0.117 0.000 [4 per cell]
Ac2 0.000 0.132 0.628 [4 per cell]
U1 0.000 0.186 0.325 [4 per cell]
H1 0.000 0.477 0.722 [4 per cell]
S1 0.000 0.042 0.390 [4 per cell]
S2 0.000 0.295 0.977 [4 per cell]
S3 0.000 0.311 0.670 [4 per cell]
S4 0.000 0.348 0.320 [4 per cell]
S5 0.000 0.499 0.613 [4 per cell]

Crystal system: orthorhombic

[5]
ErSc2Pt: optimized geometry, PBE-GGA.

Unit cell a=3.5536 b=3.5536 c=27.3380 alpha=90.00 beta=90.00 gamma=120.00
Space group R-3m (No. 166, hexagonal axes)
Unique sites:
Er1 0.0000 0.0000 0.0000 [3 per cell]
Sc1 0.0000 0.0000 0.2298 [6 per cell]
Pt1 0.0000 0.0000 0.5000 [3 per cell]

Calculated formation energy (eV/atom): -0.420
Crystal system: trigonal

[6]
CaTe2PdN: optimized geometry, PBE-GGA.

Unit cell a=5.864 b=5.864 c=3.961 alpha=90.00 beta=90.00 gamma=90.00
Space group P4/mmm (No. 123)
Unique sites:
Ca1 0.000 0.000 0.000 [1 per cell]
Te1 0.000 0.500 0.000 [2 per cell]
Pd1 0.500 0.500 0.500 [1 per cell]
N1 0.000 0.000 0.500 [1 per cell]

Formation energy (no corrections) (meV/atom): 985
Crystal system: tetragonal

Number 1: E -32.6 eV/cell. Number 2: E -65.8 eV/cell. Number 3: E -99.6 eV/cell. Number 4: E -230.2 eV/cell. Number 5: E -74.8 eV/cell. Number 6: E -16.9 eV/cell.